(1)
VASP calculation (PBE-GGA) on a geometry-optimized CaPSe structure.

**DOS(E_F)**: 0.045 states/eV/atom
**E_form (uncorrected)**: -0.989 eV/atom

Unit cell a=5.723 b=3.740 c=7.713 alpha=90.00 beta=107.16 gamma=90.00
Space group Pm (No. 6)
Unique sites:
1 Ca 0.000 0.000 0.000 [1 per cell]
2 Ca 0.423 0.000 0.618 [1 per cell]
3 P 0.503 0.000 0.021 [1 per cell]
4 P 0.551 0.500 0.214 [1 per cell]
5 Se 0.190 0.500 0.310 [1 per cell]
6 Se 0.822 0.500 0.710 [1 per cell]



(2)
VASP calculation (PBE-GGA) on a geometry-optimized Sn2BiBr8 structure.

**DOS(E_F)**: 0.491 states/eV/atom
**Relative energy among the computed polymorphs**: 61 kJ/mol of formula units
**E_form (uncorrected)**: -0.591 eV/atom

Unit cell a=8.7618 b=8.7618 c=7.6917 alpha=90.00 beta=90.00 gamma=120.00
Space group P-3m1 (No. 164)
Unique sites:
1 Sn 0.3333 0.6667 0.2986 [2 per cell]
2 Bi 0.0000 0.0000 0.0000 [1 per cell]
3 Br 0.1543 0.3085 0.2179 [6 per cell]
4 Br 0.3333 0.6667 0.6314 [2 per cell]



(3)
VASP calculation (PBE-GGA) on a geometry-optimized K2Rb4BeP2 structure.

**DOS(E_F)**: 0.317 states/eV/atom
**Energy of formation**: -0.16 eV per atom

Unit cell a=14.789 b=13.634 c=5.361 alpha=90.00 beta=108.74 gamma=90.00
Space group C2/m (No. 12)
Unique sites:
1 K 0.144 0.000 0.358 [4 per cell]
2 Rb 0.128 0.349 0.970 [8 per cell]
3 Be 0.000 0.500 0.500 [2 per cell]
4 P 0.132 0.500 0.475 [4 per cell]



(4)
VASP calculation (PBE-GGA) on a geometry-optimized GaNi2Hg structure.

**DOS(E_F)**: 0.624 states/eV/atom
**Relative energy among the computed polymorphs**: 154 kJ/mol of formula units
**Energy of formation**: 0.29 eV per atom

Unit cell a=3.967 b=3.967 c=16.929 alpha=90.00 beta=90.00 gamma=90.00
Space group I-42d (No. 122)
Unique sites:
1 Ga 0.000 0.000 0.000 [4 per cell]
2 Ni 0.181 0.250 0.125 [8 per cell]
3 Hg 0.000 0.000 0.500 [4 per cell]



(5)
VASP calculation (PBE-GGA) on a geometry-optimized SmUOs structure.

**DOS(E_F)**: 1.926 states/eV/atom
**Relative energy among the computed polymorphs**: 118 kJ/mol of formula units
**Energy of formation**: 0.44 eV per atom

Unit cell a=3.5494 b=3.5494 c=13.6205 alpha=90.00 beta=90.00 gamma=120.00
Space group P-3m1 (No. 164)
Unique sites:
1 Sm 0.3333 0.6667 0.1102 [2 per cell]
2 U 0.3333 0.6667 0.6880 [2 per cell]
3 Os 0.3333 0.6667 0.4343 [2 per cell]



(6)
VASP calculation (PBE-GGA) on a geometry-optimized Ho4Sc2In structure.

**DOS(E_F)**: 1.645 states/eV/atom
**Energy of formation**: -0.03 eV per atom

Unit cell a=5.330 b=6.649 c=11.501 alpha=90.00 beta=103.42 gamma=90.00
Space group P2_1/m (No. 11)
Unique sites:
1 Ho 0.067 0.250 0.136 [2 per cell]
2 Ho 0.212 0.750 0.426 [2 per cell]
3 Ho 0.355 0.507 0.708 [4 per cell]
4 Sc 0.215 0.250 0.429 [2 per cell]
5 Sc 0.486 0.250 0.975 [2 per cell]
6 In 0.077 0.750 0.152 [2 per cell]



(7)
VASP calculation (PBE-GGA) on a geometry-optimized La2Pm7Sc2 structure.

**DOS(E_F)**: 1.443 states/eV/atom
**Relative energy among the computed polymorphs**: 35 kJ/mol of formula units
**Energy of formation**: 0.17 eV per atom

Unit cell a=3.655 b=17.872 c=11.331 alpha=90.00 beta=90.00 gamma=90.00
Space group Imm2 (No. 44)
Unique sites:
1 La 0.000 0.000 0.000 [2 per cell]
2 La 0.000 0.500 0.155 [2 per cell]
3 Pm 0.000 0.153 0.566 [4 per cell]
4 Pm 0.000 0.176 0.112 [4 per cell]
5 Pm 0.000 0.351 0.344 [4 per cell]
6 Pm 0.000 0.500 0.824 [2 per cell]
7 Sc 0.000 0.303 0.847 [4 per cell]



(8)
VASP calculation (PBE-GGA) on a geometry-optimized Ac7AlSn5 structure.

**DOS(E_F)**: 1.001 states/eV/atom
**Energy of formation**: -0.38 eV per atom

Unit cell a=6.670 b=12.171 c=11.668 alpha=90.00 beta=90.00 gamma=90.00
Space group Imm2 (No. 44)
Unique sites:
1 Ac 0.000 0.000 0.000 [2 per cell]
2 Ac 0.000 0.000 0.414 [2 per cell]
3 Ac 0.000 0.325 0.641 [4 per cell]
4 Ac 0.000 0.338 0.114 [4 per cell]
5 Ac 0.000 0.500 0.357 [2 per cell]
6 Al 0.000 0.000 0.709 [2 per cell]
7 Sn 0.000 0.500 0.870 [2 per cell]
8 Sn 0.248 0.257 0.382 [8 per cell]